Ho3Fe2Ge4 | GGA-PBE | relaxed

Summary:
Electronic total energy: -54.84 eV per cell
SG: C2/m, No. 12

Cell lengths 5.666, 5.666, 7.980 Å; angles 106.99, 106.99, 43.66 degrees
Sites, in units of the cell vectors:
1 Ho 0.000 0.000 0.000
2 Ho 0.378 0.378 0.307
3 Ho 0.622 0.622 0.693
4 Fe 0.315 0.315 0.636
5 Fe 0.685 0.685 0.364
6 Ge 0.101 0.101 0.403
7 Ge 0.288 0.288 0.917
8 Ge 0.712 0.712 0.083
9 Ge 0.899 0.899 0.597